First-principles (PBE with a Hubbard U) data for Li4CoTeO6 after structural relaxation, as listed in OQMD.

abc: 5.1818 8.9225 5.1173
angles: 90.00 110.28 90.00
Closest atoms and distances in Å follow each position.
Space group C2 (No. 5)
Inequivalent atoms, fractional coordinates:
Li 0.0000 0.0000 0.0000 [2 per cell]  6 O 2.11-2.16
Li 0.0000 0.1609 0.5000 [2 per cell]  6 O 2.12-2.19
Li 0.0000 0.5031 0.5000 [2 per cell]  6 O 2.08-2.21
Li 0.0000 0.8370 0.5000 [2 per cell]  6 O 2.08-2.28
Co 0.0000 0.6677 0.0000 [2 per cell]  6 O 2.08-2.12
Te 0.0000 0.3338 0.0000 [2 per cell]  6 O 1.94-1.96
O 0.2292 0.4898 0.2390 [4 per cell]  1 Te 1.96, 4 Li 2.08-2.19, 1 Co 2.10
O 0.2307 0.3319 0.7708 [4 per cell]  1 Te 1.94, 1 Co 2.08, 3 Li 2.11-2.13
O 0.2361 0.1797 0.2365 [4 per cell]  1 Te 1.96, 3 Li 2.09-2.12, 1 Co 2.12

Computed properties:
The density comes out at 4.64 Mg/m³. The calculation puts the uncorrected energy at -5.453 eV/atom. The value obtained for the spin magnetization is 3.000 μB per formula unit.